No. 1
First-principles (GGA-PBE) data for crystalline PrZrFe at its relaxed geometry, as listed in Alexandria via LeMat-Bulk.

a b c (Å): 7.2954 7.2954 6.5270
angles (deg): 90.00 90.00 128.15
With the nearest neighbours (Å) after each atom.
Fractional coordinates of all 12 atoms:
Pr (0.1939, 0.8061, 0.8997)  2 Fe 2.70-2.82
Pr (0.3061, 0.6939, 0.3997)  2 Fe 2.70-2.82
Pr (0.6939, 0.3061, 0.6003)  2 Fe 2.70-2.82
Pr (0.8061, 0.1939, 0.1003)  2 Fe 2.70-2.82
Zr (0.2261, 0.2739, 0.7500)  4 Fe 2.63-2.70
Zr (0.2739, 0.2261, 0.2500)  4 Fe 2.63-2.70
Zr (0.7261, 0.7739, 0.7500)  4 Fe 2.63-2.70
Zr (0.7739, 0.7261, 0.2500)  4 Fe 2.63-2.70
Fe (0.1017, 0.8983, 0.5306)  4 Zr 2.63-2.70, 2 Pr 2.70-2.82, 1 Fe 2.70
Fe (0.3983, 0.6017, 0.0306)  4 Zr 2.63-2.70, 2 Pr 2.70-2.82, 1 Fe 2.70
Fe (0.6017, 0.3983, 0.9694)  4 Zr 2.63-2.70, 2 Pr 2.70-2.82, 1 Fe 2.70
Fe (0.8983, 0.1017, 0.4694)  4 Zr 2.63-2.70, 2 Pr 2.70-2.82, 1 Fe 2.70

Summary:
- symmetry = No. 64
- ΔE_f (eV/atom) = 0.0891
- energy (eV/cell) = -86.1


No. 2
First-principles (GGA-PBE) data for crystalline Al3CuNi2 at its relaxed geometry, as listed in Alexandria via LeMat-Bulk.

a b c (Å): 5.0878 5.0878 7.2020
angles (deg): 90.00 90.00 120.00
With the nearest neighbours (Å) after each atom.
Fractional coordinates of all 12 atoms:
Al (0.1723, 0.3446, 0.2500)  2 Cu 2.36, 4 Al 2.46-2.63
Al (0.1723, 0.8277, 0.2500)  2 Cu 2.36, 4 Al 2.46-2.63
Al (0.3446, 0.1723, 0.7500)  2 Cu 2.36, 4 Al 2.46-2.63
Al (0.6554, 0.8277, 0.2500)  2 Cu 2.36, 4 Al 2.46-2.63
Al (0.8277, 0.1723, 0.7500)  2 Cu 2.36, 4 Al 2.46-2.63
Al (0.8277, 0.6554, 0.7500)  2 Cu 2.36, 4 Al 2.46-2.63
Cu (0.0000, 0.0000, 0.0000)  6 Al 2.36
Cu (0.0000, 0.0000, 0.5000)  6 Al 2.36
Ni (0.3333, 0.6667, 0.5595)  9 Al 2.64-2.89, 1 Ni 2.74
Ni (0.3333, 0.6667, 0.9405)  9 Al 2.64-2.89, 1 Ni 2.74
Ni (0.6667, 0.3333, 0.0595)  9 Al 2.64-2.89, 1 Ni 2.74
Ni (0.6667, 0.3333, 0.4405)  9 Al 2.64-2.89, 1 Ni 2.74

Summary:
- symmetry = No. 194
- ΔE_f (eV/atom) = -0.0891
- offset from the most stable computed form (meV/atom) = 433
- energy (eV/cell) = -54.8


No. 3
First-principles (GGA-PBE) data for crystalline Dy2Al3Zn5 at its relaxed geometry, as listed in Alexandria via LeMat-Bulk.

a b c (Å): 4.1811 4.1811 10.6753
angles (deg): 90.00 90.00 90.00
With the nearest neighbours (Å) after each atom.
Fractional coordinates of all 10 atoms:
Dy (0.0000, 0.5000, 0.2482)  6 Al 3.17-3.41, 10 Zn 3.22-3.41
Dy (0.5000, 0.0000, 0.7518)  6 Al 3.17-3.41, 10 Zn 3.22-3.41
Al (0.0000, 0.5000, 0.6446)  3 Zn 2.41-2.60, 2 Al 2.60
Al (0.5000, 0.0000, 0.3554)  3 Zn 2.41-2.60, 2 Al 2.60
Al (0.5000, 0.5000, 0.5000)  4 Al 2.60
Zn (0.0000, 0.0000, 0.0000)  4 Zn 2.51
Zn (0.0000, 0.0000, 0.5000)  4 Al 2.60
Zn (0.0000, 0.5000, 0.8703)  1 Al 2.41, 4 Zn 2.51
Zn (0.5000, 0.0000, 0.1297)  1 Al 2.41, 4 Zn 2.51
Zn (0.5000, 0.5000, 0.0000)  4 Zn 2.51

Summary:
- symmetry = No. 115
- ΔE_f (eV/atom) = -0.3175
- energy (eV/cell) = -30.0


No. 4
First-principles (GGA-PBE) data for crystalline CoReSb2 at its relaxed geometry, as listed in Alexandria via LeMat-Bulk.

a b c (Å): 7.1283 7.1283 7.1283
angles (deg): 131.47 131.47 71.07
With the nearest neighbours (Å) after each atom.
Fractional coordinates of all 8 atoms:
Co (0.0000, 0.0000, 0.0000)  4 Sb 2.47
Co (0.7500, 0.2500, 0.5000)  4 Sb 2.47
Re (0.2500, 0.7500, 0.5000)  4 Sb 2.59
Re (0.5000, 0.5000, 0.0000)  4 Sb 2.59
Sb (0.1065, 0.6250, 0.9815)  2 Co 2.47, 2 Re 2.59
Sb (0.3750, 0.3565, 0.4815)  2 Co 2.47, 2 Re 2.59
Sb (0.6435, 0.1250, 0.0185)  2 Co 2.47, 2 Re 2.59
Sb (0.8750, 0.8935, 0.5185)  2 Co 2.47, 2 Re 2.59

Summary:
- symmetry = No. 122
- energy relative to the elements, uncorrected (eV per atom) = 0.870
- offset from the most stable computed form (meV/atom) = 608
- energy (eV/cell) = -48.6